# PrCoBr

A relaxed structure of PrCoBr (GGA-PBE, Alexandria).

- formation energy from raw total energies (meV/atom) = -938.4
- density of states at the Fermi level (states/eV/cell) = 4.252
- final energy (eV per atom) = -5.458

Unit cell a=12.054 b=12.054 c=12.054 alpha=19.26 beta=19.26 gamma=19.26
Fractional positions:
Pr (0.055, 0.055, 0.055)
Pr (0.945, 0.945, 0.945)
Co (0.334, 0.334, 0.334)
Co (0.666, 0.666, 0.666)
Br (0.222, 0.222, 0.222)
Br (0.778, 0.778, 0.778)